Entry from the Alexandria database: a geometry-optimized KCa2Pb structure (GGA-PBE).

The structure belongs to space group C2/m (No. 12); the cell edges are 7.551, 11.860 and 3.684 Å and the angles 90.00°, 111.95° and 90.00°. The distinct sites, in fractional coordinates, are K at (0.000, 0.000, 0.000), Ca at (0.250, 0.250, 0.500) and Pb at (0.000, 0.500, 0.000).

The value obtained for the energy of formation is 0.01 eV per formula unit.